A plane-wave DFT calculation with PBE-GGA was carried out for a relaxed structure of LaCe2ErS4.

Unit cell a=4.0049 b=6.9806 c=6.9779 alpha=109.25 beta=90.00 gamma=90.00
Fractional coordinates of all 8 atoms:
Er (0.0000, 0.0000, 0.0000)
S (0.0000, 0.2382, 0.7504)
S (0.5000, 0.7642, 0.7586)
S (0.0000, 0.7618, 0.2496)
S (0.5000, 0.2358, 0.2414)
Ce (0.0000, 0.5000, 0.5000)
Ce (0.5000, 0.0000, 0.5000)
La (0.5000, 0.5000, 0.0000)

total energy	-6.7749	eV/atom
volume	23.0	A^3/atom

A plane-wave DFT calculation with PBE-GGA was carried out for a relaxed structure of NiMoAs2.

Unit cell a=4.3266 b=4.3266 c=4.9287 alpha=83.22 beta=83.22 gamma=42.14
Fractional coordinates of all 4 atoms:
Ni (0.2500, 0.2500, 0.2500)
As (0.4826, 0.4826, 0.5102)
As (0.0174, 0.0174, 0.9898)
Mo (0.7500, 0.7500, 0.7500)

energy of formation from the pure elements	105	meV/atom
volume	15.4	A^3/atom

Question: What is the volume in the second record?
Answer: 15.4 A^3/atom

What did the first record say?
A plane-wave DFT calculation with PBE-GGA was carried out for a relaxed structure of LaCe2ErS4.

Unit cell a=4.0049 b=6.9806 c=6.9779 alpha=109.25 beta=90.00 gamma=90.00
Fractional coordinates of all 8 atoms:
Er (0.0000, 0.0000, 0.0000)
S (0.0000, 0.2382, 0.7504)
S (0.5000, 0.7642, 0.7586)
S (0.0000, 0.7618, 0.2496)
S (0.5000, 0.2358, 0.2414)
Ce (0.0000, 0.5000, 0.5000)
Ce (0.5000, 0.0000, 0.5000)
La (0.5000, 0.5000, 0.0000)

total energy	-6.7749	eV/atom
volume	23.0	A^3/atom